[1]
DFT (PBE-GGA) results for crystalline HfSiSe2Br at its relaxed geometry.

* total magnetization: 0.91 Bohr magnetons per cell
* formation energy from raw total energies: -107.5 meV/atom
* ρ: 5.3 g cm⁻³
* energy above the most stable polymorph in this dataset: 0.00 eV/f.u.
* electronic total energy: -24.6 eV per cell

Structure (extended XYZ):
```
5
Lattice="-3.4236 -3.9075 0.0235 3.2768 -2.8880 -2.8129 2.1235 -1.8344 4.3571" Properties=species:S:1:pos:R:3 pbc="T T T"
Br 1.0618 -0.9172 2.1786
Si 0.9884 -4.3149 0.7839
Se -1.7118 -1.9538 0.0117
Se 1.6384 -1.4440 -1.4064
Hf 0.0000 0.0000 0.0000
```



[2]
DFT (PBE-GGA) results for crystalline HfSiSeBr2 at its relaxed geometry.

* total magnetization: 1.63 Bohr magnetons per cell
* formation energy from raw total energies: -65.6 meV/atom
* ρ: 5.1 g cm⁻³
* energy above the most stable polymorph in this dataset: 0.00 eV/f.u.
* electronic total energy: -22.5 eV per cell

Structure (extended XYZ):
```
5
Lattice="-1.1148 3.4850 -3.7777 -2.9049 -3.6161 -2.4788 -4.1974 1.5455 2.6644" Properties=species:S:1:pos:R:3 pbc="T T T"
Br -0.5574 1.7425 -1.8888
Si -4.1085 0.7072 -1.7960
Br -1.4524 -1.8081 -1.2394
Hf 0.0000 0.0000 0.0000
Se -2.0987 0.7727 1.3322
```



[3]
DFT (PBE-GGA) results for crystalline HfSnSe2Br at its relaxed geometry.

* total magnetization: 0.00 Bohr magnetons per cell
* formation energy from raw total energies: -544.3 meV/atom
* ρ: 6.3 g cm⁻³
* energy above the most stable polymorph in this dataset: 0.00 eV/f.u.
* electronic total energy: -25.3 eV per cell

Structure (extended XYZ):
```
5
Lattice="-4.9892 0.5448 1.3933 -1.3299 -3.8370 -3.2617 0.6861 -3.4842 3.8190" Properties=species:S:1:pos:R:3 pbc="T T T"
Hf 0.0000 0.0000 0.0000
Se -2.4946 0.2724 0.6967
Sn -2.8165 -3.3882 0.9754
Se -0.6650 -1.9185 -1.6308
Br 0.3430 -1.7421 1.9095
```



[4]
DFT (PBE-GGA) results for crystalline HfSnSe2Br at its relaxed geometry.

* total magnetization: 1.51 Bohr magnetons per cell
* formation energy from raw total energies: 493.3 meV/atom
* ρ: 6.0 g cm⁻³
* energy above the most stable polymorph in this dataset: 5.19 eV/f.u.
* electronic total energy: -20.1 eV per cell

Structure (extended XYZ):
```
5
Lattice="-3.5765 -3.9020 -0.1312 3.8054 -3.5238 1.0658 -0.8677 0.6219 5.1545" Properties=species:S:1:pos:R:3 pbc="T T T"
Br -0.4338 0.3110 2.5772
Se 1.9027 -1.7619 0.5329
Sn 0.0000 0.0000 0.0000
Se -1.7883 -1.9510 -0.0656
Hf -0.3194 -3.4019 3.0445
```



[5]
DFT (PBE-GGA) results for crystalline HfTcSe2Br at its relaxed geometry.

* total magnetization: 1.67 Bohr magnetons per cell
* formation energy from raw total energies: 512.8 meV/atom
* ρ: 7.3 g cm⁻³
* energy above the most stable polymorph in this dataset: 1.39 eV/f.u.
* electronic total energy: -26.4 eV per cell

Structure (extended XYZ):
```
5
Lattice="-2.4632 -4.0495 -1.1260 3.3693 -1.1221 -3.3351 2.5474 -2.4989 3.4143" Properties=species:S:1:pos:R:3 pbc="T T T"
Hf 1.7267 -3.8352 -0.5234
Se -1.2316 -2.0248 -0.5630
Tc 0.0000 0.0000 0.0000
Se 1.6846 -0.5611 -1.6675
Br 1.2737 -1.2494 1.7071
```



[6]
DFT (PBE-GGA) results for crystalline HfTcSeBr2 at its relaxed geometry.

* total magnetization: 5.20 Bohr magnetons per cell
* formation energy from raw total energies: 311.4 meV/atom
* ρ: 5.9 g cm⁻³
* energy above the most stable polymorph in this dataset: 0.00 eV/f.u.
* electronic total energy: -25.6 eV per cell

Structure (extended XYZ):
```
5
Lattice="5.2902 0.0000 0.0000 0.0000 5.2902 0.0000 0.0000 0.0000 5.1651" Properties=species:S:1:pos:R:3 pbc="T T T"
Hf 0.0000 0.0000 0.0000
Tc 2.6451 2.6451 2.5826
Se 0.0000 0.0000 2.5826
Br 2.6451 0.0000 0.0000
Br 0.0000 2.6451 0.0000
```



- Which value of formation energy from raw total energies does entry 6 give?
  311.4 meV/atom



- Among the records above, which one has the highest ρ?
  HfTcSe2Br